[1]
A plane-wave DFT calculation with GGA-PBE was carried out for a geometry-optimized SrCo2Te structure.

a b c (Å): 4.8135 4.8135 9.1409
angles (deg): 74.73 74.73 90.00
Fractional positions:
Co  0.8752  0.1250  0.2500
Co  0.3750  0.1248  0.7500
Co  0.8748  0.6250  0.2500
Co  0.8750  0.1252  0.7500
Te  0.0000  0.0000  0.0000
Te  0.7500  0.2500  0.5000
Sr  0.5000  0.5000  0.0000
Sr  0.2500  0.7500  0.5000

Output
Space-group type: I4_1/amd (141)
Density, g/cm³: 5.628
Uncorrected energy, eV/atom: -4.751

---

[2]
A plane-wave DFT calculation with GGA-PBE was carried out for a geometry-optimized AlIrIO2 structure.

a b c (Å): 3.8690 3.8690 7.6771
angles (deg): 90.00 90.00 90.00
Fractional positions:
I  0.0000  0.0000  0.5000
O  0.0000  0.5000  0.0000
O  0.5000  0.0000  0.0000
Ir  0.0000  0.0000  0.0000
Al  0.5000  0.5000  0.5000

Output
Space-group type: P4/mmm (123)
Density, g/cm³: 5.463
Uncorrected energy, eV/atom: -4.831

---

[3]
A plane-wave DFT calculation with GGA-PBE was carried out for a geometry-optimized KSc2Sb structure.

a b c (Å): 5.2718 5.2718 7.7849
angles (deg): 82.79 82.79 38.47
Fractional positions:
Sb  0.2576  0.2576  0.1570
Sc  0.9939  0.9939  0.0183
Sc  0.7318  0.7318  0.8441
K  0.5167  0.5167  0.4807

Output
Space-group type: Cm (8)
Density, g/cm³: 3.122
Uncorrected energy, eV/atom: -4.503

---

[4]
A plane-wave DFT calculation with GGA-PBE was carried out for a geometry-optimized Mn3VSe8 structure.

a b c (Å): 6.9685 6.9686 7.7754
angles (deg): 116.91 90.00 120.00
Fractional positions:
Se  0.7403  0.4805  0.2186
Se  0.7575  0.0197  0.7789
Se  0.2425  0.9803  0.2211
Se  0.7573  0.5146  0.7789
Se  0.2597  0.5195  0.7814
Se  0.7379  0.9803  0.2211
Se  0.2621  0.0197  0.7789
Se  0.2427  0.4854  0.2211
V  0.0000  0.0000  0.0000
Mn  0.5000  0.0000  0.0000
Mn  0.5000  0.5000  0.0000
Mn  0.0000  0.5000  0.0000

Output
Space-group type: C2/m (12)
Density, g/cm³: 5.047
Uncorrected energy, eV/atom: -5.887

---

[5]
A plane-wave DFT calculation with GGA-PBE was carried out for a geometry-optimized Ba2HgI structure.

a b c (Å): 4.7717 4.7717 9.6831
angles (deg): 75.74 75.74 60.00
Fractional positions:
Hg  0.6673  0.6673  0.9982
Ba  0.0747  0.0747  0.7760
Ba  0.2589  0.2589  0.2233
I  0.4992  0.4992  0.5025

Output
Space-group type: R3m (160)
Density, g/cm³: 5.462
Uncorrected energy, eV/atom: -2.314

---

[6]
A plane-wave DFT calculation with GGA-PBE was carried out for a geometry-optimized Er2Sn3 structure.

a b c (Å): 4.5712 10.1101 11.8692
angles (deg): 90.00 90.00 90.00
Fractional positions:
Sn  0.7500  0.0650  0.6625
Sn  0.2500  0.5650  0.8375
Sn  0.2500  0.8554  0.0797
Sn  0.7500  0.3554  0.4203
Sn  0.7500  0.7636  0.7476
Sn  0.7500  0.7364  0.2476
Sn  0.2500  0.9350  0.3375
Sn  0.2500  0.2364  0.2524
Sn  0.2500  0.2636  0.7524
Sn  0.7500  0.1446  0.9203
Sn  0.7500  0.4350  0.1625
Sn  0.2500  0.6446  0.5797
Er  0.7500  0.8303  0.4925
Er  0.2500  0.5430  0.3341
Er  0.7500  0.6697  0.9925
Er  0.2500  0.3303  0.0075
Er  0.7500  0.4570  0.6659
Er  0.2500  0.9570  0.8341
Er  0.7500  0.0430  0.1659
Er  0.2500  0.1697  0.5075

Output
Space-group type: Pnma (62)
Density, g/cm³: 8.363
Formation energy, eV per atom: -0.454
Uncorrected energy, eV/atom: -4.680